1.
Material: Re2SnBr
Method: DFT, PBE
State: relaxed

Calculated values
DOS(E_F): 2.8 states/eV/cell
space group: Fm-3m (225)

Cell lengths 4.601, 4.601, 4.601 Å; angles 60.00, 60.00, 60.00 degrees
Element x y z (fractional)
Sn: 0.500 0.500 0.500
Br: 0.000 0.000 0.000
Re: 0.250 0.250 0.250
Re: 0.750 0.750 0.750



2.
Material: ReSn3Br
Method: DFT, PBE
State: relaxed

Calculated values
DOS(E_F): 5.2 states/eV/cell
space group: Pm-3m (221)

Cell lengths 5.437, 5.437, 5.437 Å; angles 90.00, 90.00, 90.00 degrees
Each line ends with the local moment (μB).
Element x y z (fractional)
Sn: 0.000 0.500 0.000  -0.07
Re: 0.500 0.500 0.500  3.38
Sn: 0.500 0.000 0.000  0.01
Br: 0.000 0.000 0.000  -0.01
Sn: 0.000 0.000 0.500  -0.03



3.
Material: ReSn2Br
Method: DFT, PBE
State: relaxed

Calculated values
DOS(E_F): 5.0 states/eV/cell
space group: I-42d (122)

Cell lengths 6.494, 6.494, 7.942 Å; angles 65.87, 65.87, 90.00 degrees
Element x y z (fractional)
Sn: 0.698 0.125 0.250
Sn: 0.875 0.948 0.750
Re: 0.750 0.250 0.500
Re: 0.000 0.000 0.000
Br: 0.500 0.500 0.000
Br: 0.250 0.750 0.500
Sn: 0.052 0.625 0.250
Sn: 0.375 0.302 0.750



4.
Material: ReSn2Br
Method: DFT, PBE
State: relaxed

Calculated values
DOS(E_F): 5.1 states/eV/cell
space group: Fm-3m (225)

Cell lengths 5.071, 5.071, 5.071 Å; angles 60.00, 60.00, 60.00 degrees
Each line ends with the local moment (μB).
Element x y z (fractional)
Re: 0.500 0.500 0.500  2.06
Sn: 0.250 0.250 0.250  -0.02
Br: 0.000 0.000 0.000  0.12
Sn: 0.750 0.750 0.750  -0.02



5.
Material: Re2SnBr
Method: DFT, PBE
State: relaxed

Calculated values
DOS(E_F): 9.7 states/eV/cell
space group: I-42d (122)

Cell lengths 6.104, 6.104, 6.717 Å; angles 62.97, 62.97, 90.00 degrees
Element x y z (fractional)
Re: 0.161 0.625 0.250
Re: 0.589 0.125 0.250
Re: 0.875 0.839 0.750
Br: 0.250 0.750 0.500
Sn: 0.750 0.250 0.500
Br: 0.500 0.500 0.000
Re: 0.375 0.411 0.750
Sn: 0.000 0.000 0.000



6.
Material: ReSn3Br
Method: DFT, PBE
State: relaxed

Calculated values
DOS(E_F): 0.0 states/eV/cell
space group: Pm-3m (221)

Cell lengths 5.209, 5.209, 5.209 Å; angles 90.00, 90.00, 90.00 degrees
Element x y z (fractional)
Sn: 0.500 0.000 0.000
Sn: 0.000 0.500 0.000
Re: 0.000 0.000 0.000
Br: 0.500 0.500 0.500
Sn: 0.000 0.000 0.500



7.
Material: ReSnBr6
Method: DFT, PBE
State: relaxed

Calculated values
space group: C2/c (15)

Cell lengths 7.197, 7.197, 10.536 Å; angles 92.59, 92.59, 71.02 degrees
Each line ends with the local moment (μB).
Element x y z (fractional)
Br: 0.860 0.788 0.009  0.04
Sn: 0.025 0.975 0.250  0.07
Br: 0.851 0.445 0.288  0.07
Br: 0.555 0.149 0.212  0.07
Re: 0.000 0.500 0.500  2.15
Br: 0.607 0.251 0.888  0.03
Br: 0.445 0.851 0.788  0.07
Br: 0.140 0.212 0.991  0.04
Br: 0.788 0.860 0.509  0.04
Br: 0.749 0.393 0.612  0.03
Br: 0.149 0.555 0.712  0.07
Br: 0.212 0.140 0.491  0.04
Br: 0.393 0.749 0.112  0.03
Br: 0.251 0.607 0.388  0.03
Sn: 0.975 0.025 0.750  0.07
Re: 0.500 0.000 0.000  2.15



8.
Material: TiRe2SnBr
Method: DFT, PBE
State: relaxed

Calculated values
DOS(E_F): 4.7 states/eV/cell
space group: P4/mmm (123)

Cell lengths 4.810, 4.834, 4.810 Å; angles 90.00, 90.00, 90.00 degrees
Each line ends with the local moment (μB).
Element x y z (fractional)
Br: 0.000 0.500 0.000  0.09
Sn: 0.500 0.500 0.500  -0.04
Re: 0.500 0.000 0.000  1.52
Ti: 0.000 0.000 0.000  -0.22
Re: 0.000 0.000 0.500  1.28



9.
Material: SrRe2Br
Method: DFT, PBE
State: relaxed

Calculated values
DOS(E_F): 6.4 states/eV/cell
space group: R-3m (166)

Cell lengths 9.966, 9.966, 9.966 Å; angles 17.39, 17.39, 17.39 degrees
Element x y z (fractional)
Br: 0.750 0.750 0.750
Re: 0.009 0.009 0.009
Sr: 0.250 0.250 0.250
Re: 0.491 0.491 0.491



10.
Material: SrReBr2
Method: DFT, PBE
State: relaxed

Calculated values
DOS(E_F): 5.1 states/eV/cell
space group: Fm-3m (225)

Cell lengths 5.399, 5.399, 5.399 Å; angles 60.00, 60.00, 60.00 degrees
Each line ends with the local moment (μB).
Element x y z (fractional)
Br: 0.750 0.750 0.750  0.15
Re: 0.500 0.500 0.500  3.66
Br: 0.250 0.250 0.250  0.15
Sr: 0.000 0.000 0.000  0.01



11.
Material: SrRe4Br
Method: DFT, PBE
State: relaxed

Calculated values
DOS(E_F): 4.8 states/eV/cell
space group: F-43m (216)

Cell lengths 5.442, 5.442, 5.442 Å; angles 60.00, 60.00, 60.00 degrees
Element x y z (fractional)
Re: 0.878 0.374 0.374
Br: 0.000 0.000 0.000
Sr: 0.750 0.750 0.750
Re: 0.374 0.374 0.374
Re: 0.374 0.878 0.374
Re: 0.374 0.374 0.878



12.
Material: SrReBr2
Method: DFT, PBE
State: relaxed

Calculated values
DOS(E_F): 2.8 states/eV/cell
space group: F-43m (216)

Cell lengths 5.512, 5.512, 5.512 Å; angles 60.00, 60.00, 60.00 degrees
Each line ends with the local moment (μB).
Element x y z (fractional)
Re: 0.500 0.500 0.500  3.68
Br: 0.000 0.000 0.000  0.11
Br: 0.250 0.250 0.250  0.20
Sr: 0.750 0.750 0.750  0.04



13.
Material: SrReBr2
Method: DFT, PBE
State: relaxed

Calculated values
DOS(E_F): 3.8 states/eV/cell
space group: R3m (160)

Cell lengths 9.725, 9.725, 9.725 Å; angles 21.64, 21.64, 21.64 degrees
Element x y z (fractional)
Br: 0.011 0.011 0.011
Re: 0.511 0.511 0.511
Br: 0.227 0.227 0.227
Sr: 0.751 0.751 0.751



14.
Material: SrRe2Br
Method: DFT, PBE
State: relaxed

Calculated values
DOS(E_F): 5.2 states/eV/cell
space group: P4/mmm (123)

Cell lengths 2.903, 2.903, 9.403 Å; angles 90.00, 90.00, 90.00 degrees
Element x y z (fractional)
Re: 0.000 0.000 0.528
Sr: 0.500 0.500 0.250
Br: 0.500 0.500 0.750
Re: 0.000 0.000 0.972



15.
Material: SrRe2Br
Method: DFT, PBE
State: relaxed

Calculated values
DOS(E_F): 4.5 states/eV/cell
space group: Cm (8)

Cell lengths 3.947, 3.947, 8.427 Å; angles 71.60, 71.60, 57.01 degrees
Element x y z (fractional)
Br: 0.687 0.687 0.761
Sr: 0.488 0.488 0.482
Re: 0.301 0.301 0.189
Re: 0.024 0.024 0.069



16.
Material: SrReBr2
Method: DFT, PBE
State: relaxed

Calculated values
DOS(E_F): 1.5 states/eV/cell
space group: P4mm (99)

Cell lengths 3.428, 3.428, 8.892 Å; angles 90.00, 90.00, 90.00 degrees
Element x y z (fractional)
Re: 0.000 0.000 0.461
Br: 0.500 0.500 0.346
Br: 0.000 0.000 0.952
Sr: 0.500 0.500 0.741



17.
Material: SrReBr2
Method: DFT, PBE
State: relaxed

Calculated values
DOS(E_F): 3.7 states/eV/cell
space group: R-3m (166)

Cell lengths 9.696, 9.696, 9.696 Å; angles 21.20, 21.20, 21.20 degrees
Each line ends with the local moment (μB).
Element x y z (fractional)
Sr: 0.500 0.500 0.500  -0.05
Br: 0.912 0.912 0.912  0.03
Re: 0.000 0.000 0.000  1.71
Br: 0.088 0.088 0.088  0.03



18.
Material: SrReBr2
Method: DFT, PBE
State: relaxed

Calculated values
DOS(E_F): 2.6 states/eV/cell
space group: Imm2 (44)

Cell lengths 8.355, 8.355, 8.355 Å; angles 156.19, 149.93, 38.71 degrees
Each line ends with the local moment (μB).
Element x y z (fractional)
Re: 0.482 0.482 0.000  2.00
Br: 0.722 0.222 0.500  0.00
Br: 0.984 0.984 0.000  0.05
Sr: 0.312 0.812 0.500  -0.03



19.
Material: SrReBr4
Method: DFT, PBE
State: relaxed

Calculated values
DOS(E_F): 5.0 states/eV/cell
space group: F-43m (216)

Cell lengths 6.461, 6.461, 6.461 Å; angles 60.00, 60.00, 60.00 degrees
Each line ends with the local moment (μB).
Element x y z (fractional)
Br: 0.375 0.375 0.874  0.36
Re: 0.750 0.750 0.750  4.20
Br: 0.375 0.874 0.375  0.36
Br: 0.375 0.375 0.375  0.36
Br: 0.874 0.375 0.375  0.36
Sr: 0.000 0.000 0.000  0.01



20.
Material: SrReBr2
Method: DFT, PBE
State: relaxed

Calculated values
DOS(E_F): 1.0 states/eV/cell
space group: R-3m (166)

Cell lengths 10.562, 10.562, 10.562 Å; angles 23.57, 23.57, 23.57 degrees
Each line ends with the local moment (μB).
Element x y z (fractional)
Re: 0.250 0.250 0.250  4.09
Br: 0.473 0.473 0.473  0.01
Br: 0.027 0.027 0.027  0.01
Sr: 0.750 0.750 0.750  0.00



21.
Material: SrReBr2
Method: DFT, PBE
State: relaxed

Calculated values
DOS(E_F): 4.3 states/eV/cell
space group: I-42d (122)

Cell lengths 5.266, 5.266, 8.993 Å; angles 72.98, 72.98, 90.00 degrees
Each line ends with the local moment (μB).
Element x y z (fractional)
Sr: 0.500 0.500 0.000  0.00
Br: 0.048 0.625 0.250  0.01
Br: 0.375 0.298 0.750  0.02
Re: 0.000 0.000 0.000  0.80
Re: 0.750 0.250 0.500  0.79
Br: 0.875 0.952 0.750  0.02
Br: 0.702 0.125 0.250  0.01
Sr: 0.250 0.750 0.500  0.00



22.
Material: SrReBr2
Method: DFT, PBE
State: relaxed

Calculated values
DOS(E_F): 1.3 states/eV/cell
space group: C2/m (12)

Cell lengths 7.262, 7.262, 5.240 Å; angles 92.74, 92.74, 31.33 degrees
Each line ends with the local moment (μB).
Element x y z (fractional)
Sr: 0.250 0.250 0.250  0.00
Re: 0.750 0.750 0.750  2.36
Br: 0.904 0.904 0.006  0.06
Br: 0.596 0.596 0.494  0.06



23.
Material: SrReBr2
Method: DFT, PBE
State: relaxed

Calculated values
DOS(E_F): 3.1 states/eV/cell
space group: P4/mmm (123)

Cell lengths 4.998, 4.998, 4.118 Å; angles 90.00, 90.00, 90.00 degrees
Each line ends with the local moment (μB).
Element x y z (fractional)
Br: 0.000 0.000 0.000  0.07
Re: 0.500 0.000 0.500  3.08
Sr: 0.000 0.500 0.500  -0.02
Br: 0.500 0.500 0.000  0.07



24.
Material: SrRe2Br
Method: DFT, PBE
State: relaxed

Calculated values
DOS(E_F): 5.0 states/eV/cell
space group: I-42d (122)

Cell lengths 4.833, 4.833, 9.439 Å; angles 75.17, 75.17, 90.00 degrees
Element x y z (fractional)
Sr: 0.000 0.000 0.000
Re: 0.427 0.625 0.250
Re: 0.375 0.677 0.750
Sr: 0.750 0.250 0.500
Re: 0.875 0.573 0.750
Br: 0.500 0.500 0.000
Br: 0.250 0.750 0.500
Re: 0.323 0.125 0.250



25.
Material: SrRe2Br
Method: DFT, PBE
State: relaxed

Calculated values
DOS(E_F): 4.5 states/eV/cell
space group: Cmmm (65)

Cell lengths 2.928, 2.928, 10.080 Å; angles 90.00, 90.00, 116.66 degrees
Element x y z (fractional)
Re: 0.000 0.000 0.981
Sr: 0.500 0.500 0.250
Br: 0.500 0.500 0.750
Re: 0.000 0.000 0.519



26.
Material: SrRe2Br
Method: DFT, PBE
State: relaxed

Calculated values
DOS(E_F): 3.5 states/eV/cell
space group: Pmmm (47)

Cell lengths 3.218, 4.406, 6.423 Å; angles 90.00, 90.00, 90.00 degrees
Each line ends with the local moment (μB).
Element x y z (fractional)
Re: 0.000 0.000 0.000  -0.22
Br: 0.000 0.500 0.500  0.06
Re: 0.500 0.500 0.000  1.11
Sr: 0.500 0.000 0.500  0.01



27.
Material: SrReBr6
Method: DFT, PBE
State: relaxed

Calculated values
space group: R-3 (148)

Cell lengths 6.929, 6.931, 7.511 Å; angles 62.55, 62.55, 60.02 degrees
Each line ends with the local moment (μB).
Element x y z (fractional)
Br: 0.609 0.207 0.228  0.05
Br: 0.207 0.956 0.228  0.05
Br: 0.956 0.609 0.228  0.05
Br: 0.044 0.391 0.772  0.05
Br: 0.391 0.793 0.772  0.05
Re: 0.000 0.000 0.000  2.20
Br: 0.793 0.044 0.772  0.05
Sr: 0.500 0.500 0.500  0.01



28.
Material: SrRe2Br
Method: DFT, PBE
State: relaxed

Calculated values
DOS(E_F): 3.1 states/eV/cell
space group: Amm2 (38)

Cell lengths 3.232, 3.244, 8.419 Å; angles 78.89, 90.00, 90.00 degrees
Element x y z (fractional)
Re: 0.000 0.785 0.054
Sr: 0.000 0.567 0.490
Re: 0.500 0.212 0.200
Br: 0.500 0.935 0.755



The records above yield uncorrected formation energy values of 1.245 1.652 0.727 0.944 1.820 -0.092 -0.417 1.516 1.452 0.321 1.013 0.570 0.061 1.561 0.222 0.043 0.364 0.188 0.622 0.276 0.277 0.002 0.343 1.147 1.528 0.761 -0.896 0.161 eV/atom, respectively.
The records above yield magnetization values of 0.0 4.0 0.0 2.6 0.0 0.0 3.0 3.1 0.0 5.0 0.0 5.0 0.0 0.0 0.0 0.0 1.9 2.4 7.0 5.0 1.0 3.0 3.9 0.0 0.0 1.2 3.0 0.0 μB/f.u., respectively.